Record 1
Here is a relaxed structure of ScPa2Ni6 from Alexandria. Energies are from GGA-PBE.

Computed properties:
Total DFT energy (no corrections): -6.944 eV/atom
Energy of formation from the pure elements: -276 meV per atom

Cell lengths 3.3022, 6.7544, 13.1052 Å; angles 90.00, 90.00, 90.00 degrees
Last column: nearest neighbours and their distance in Å.
Space group Immm (No. 71)
Inequivalent atoms, fractional coordinates:
Sc (0.0000, 0.0000, 0.0000) x2  4 Ni 2.70
Pa (0.0000, 0.5000, 0.1423) x4  10 Ni 2.70-2.78
Ni (0.0000, 0.1840, 0.5000) x4  3 Ni 2.46-2.49, 2 Sc 2.70
Ni (0.0000, 0.3122, 0.3244) x8  4 Ni 2.46-2.69, 3 Pa 2.70-2.71

Record 2
Here is a relaxed structure of ZnW from Alexandria. Energies are from GGA-PBE.

Computed properties:
Total DFT energy (no corrections): -6.951 eV/atom
ΔE to the lowest computed polymorph: 0 meV per atom
Energy of formation from the pure elements: 162 meV per atom

Cell lengths 3.1937, 4.3766, 8.8494 Å; angles 90.00, 90.00, 90.00 degrees
Last column: nearest neighbours and their distance in Å.
Space group Cmme (No. 67)
Inequivalent atoms, fractional coordinates:
Zn (0.0000, 0.2500, 0.1216) x4  6 Zn 2.68-2.71, 2 W 2.74
W (0.0000, 0.2500, 0.6273) x4  6 W 2.71-2.76, 2 Zn 2.74

Which formula does entry 2 have? ZnW